Entry from Alexandria via LeMat-Bulk: a geometry-optimized GaHOs3 structure (PBE).

Computed properties:
Uncorrected energy = -5.234 eV per atom
Density of states at the Fermi level = 5.07 states/eV/f.u.
Space group = No. 221
Total magnetization = 3.67 μB per formula unit
Crystal system = cubic

Lattice parameters (Å, degrees): 4.5531 4.5531 4.5531 90.00 90.00 90.00
With the nearest neighbours (Å) after each atom.
Fractional positions:
H: 0.5000 0.5000 0.5000  12 Os 3.22
Os: 0.0000 0.5000 0.0000  2 Ga 2.28
Os: 0.0000 0.0000 0.5000  2 Ga 2.28
Os: 0.5000 0.0000 0.0000  2 Ga 2.28
Ga: 0.0000 0.0000 0.0000  6 Os 2.28